(1)
# Pm6Rh2CCl3

A relaxed Pm6Rh2CCl3 crystal (PBE-GGA, Alexandria via LeMat-Bulk).

Lattice parameters (Å, degrees): 6.9619 6.9619 7.6655 98.24 98.24 120.15
Atoms (fractional coordinates):
Pm  0.0612  0.3703  0.1950
Pm  0.2520  0.2520  0.8036
Pm  0.3703  0.0612  0.1950
Pm  0.6297  0.9388  0.8050
Pm  0.7480  0.7480  0.1964
Pm  0.9388  0.6297  0.8050
Rh  0.3320  0.6680  0.0000
Rh  0.6680  0.3320  0.0000
C  0.0000  0.0000  0.0000
Cl  0.1544  0.8456  0.5000
Cl  0.5000  0.5000  0.5000
Cl  0.8456  0.1544  0.5000

## Properties
density of states at the Fermi level: 0.8193 states/eV per atom
total moment: 0.0 μB/f.u.
ΔE_f (raw): -1.06 eV/atom

=====

(2)
# Na6TlIn12

A relaxed Na6TlIn12 crystal (PBE-GGA, Alexandria via LeMat-Bulk).

Lattice parameters (Å, degrees): 8.0836 8.0836 8.0836 92.34 92.34 92.34
Atoms (fractional coordinates):
Na  0.2193  0.3809  0.7581
Na  0.2419  0.7807  0.6191
Na  0.3809  0.7581  0.2193
Na  0.6191  0.2419  0.7807
Na  0.7581  0.2193  0.3809
Na  0.7807  0.6191  0.2419
Tl  0.5000  0.5000  0.5000
In  0.0350  0.9610  0.2858
In  0.0390  0.7142  0.9650
In  0.1228  0.4399  0.3543
In  0.2858  0.0350  0.9610
In  0.3543  0.1228  0.4399
In  0.4399  0.3543  0.1228
In  0.5601  0.6457  0.8772
In  0.6457  0.8772  0.5601
In  0.7142  0.9650  0.0390
In  0.8772  0.5601  0.6457
In  0.9610  0.2858  0.0350
In  0.9650  0.0390  0.7142

## Properties
density of states at the Fermi level: 0.3374 states/eV per atom
total moment: 0.0 μB/f.u.
formation enthalpy at 0 K: -0.98 eV/f.u.

=====

(3)
# Cu2MoIrOs

A relaxed Cu2MoIrOs crystal (PBE-GGA, Alexandria via LeMat-Bulk).

Lattice parameters (Å, degrees): 4.5262 4.5262 4.6202 90.00 90.00 90.00
Atoms (fractional coordinates):
Cu  0.0000  0.5000  0.0000
Cu  0.5000  0.0000  0.0000
Mo  0.0000  0.0000  0.0000
Ir  0.0000  0.0000  0.5000
Os  0.5000  0.5000  0.5000

## Properties
density of states at the Fermi level: 1.2279 states/eV per atom
total moment: 2.3 μB/f.u.
formation enthalpy at 0 K: 10.75 eV/f.u.

=====

(4)
# NaTl2Sb2

A relaxed NaTl2Sb2 crystal (PBE-GGA, Alexandria via LeMat-Bulk).

Lattice parameters (Å, degrees): 4.4165 4.4165 16.9685 90.00 90.00 90.00
Atoms (fractional coordinates):
Na  0.0000  0.0000  0.0000
Na  0.5000  0.5000  0.5000
Tl  0.0000  0.0000  0.3982
Tl  0.0000  0.0000  0.6018
Tl  0.5000  0.5000  0.1018
Tl  0.5000  0.5000  0.8982
Sb  0.0000  0.5000  0.2500
Sb  0.0000  0.5000  0.7500
Sb  0.5000  0.0000  0.2500
Sb  0.5000  0.0000  0.7500

## Properties
density of states at the Fermi level: 0.7049 states/eV per atom
total moment: 0.0 μB/f.u.
relative energy among the computed polymorphs: 103 meV per atom
ΔE_f (raw): 0.00 eV/atom